DFT (GGA-PBE) results for a relaxed ZrIrS2N crystal.

a b c (Å): 5.002 5.002 4.021
angles (deg): 90.00 90.00 90.00
Element x y z (fractional)
N1 0.000 0.000 0.500
Zr1 0.000 0.000 0.000
S1 0.500 0.000 0.000
S2 0.000 0.500 0.000
Ir1 0.500 0.500 0.500

Total magnetization in μB/f.u.: 2.54
Energy above the lowest structure with this stoichiometry in kJ/mol of atoms: 71.2
E_tot in eV/f.u.: -30.02
D(E_F) in states/eV/atom: 1.250